This record from the Alexandria database describes a relaxed structure of LiCaCo2. The functional is PBE.

Computed properties:
Space group   Cmmm, No. 65
ΔE to the lowest computed polymorph   395 meV per atom
Energy of formation from the pure elements   0.526 eV per atom

a = 5.0367 Å, b = 5.0367 Å, c = 2.8095 Å
α = 90.00°, β = 90.00°, γ = 118.03°
Last column: nearest neighbours and their distance in Å.
Fractional positions:
Co  0.0000  0.0000  0.0000  4 Co 2.59-2.81, 4 Ca 2.88, 4 Li 2.88
Ca  0.0000  0.5000  0.5000  2 Li 2.59, 2 Ca 2.81, 8 Co 2.88
Co  0.5000  0.5000  0.0000  4 Co 2.59-2.81, 4 Li 2.88, 4 Ca 2.88
Li  0.5000  0.0000  0.5000  2 Ca 2.59, 2 Li 2.81, 8 Co 2.88


This record from the Alexandria database describes a relaxed structure of LiCaCo2. The functional is PBE.

Computed properties:
Space group   P2/m, No. 10
ΔE to the lowest computed polymorph   301 meV per atom
Energy of formation from the pure elements   0.432 eV per atom

a = 4.2864 Å, b = 2.9604 Å, c = 5.4058 Å
α = 78.11°, β = 90.00°, γ = 90.00°
Last column: nearest neighbours and their distance in Å.
Fractional positions:
Co  0.0000  0.0585  0.0847  2 Co 2.28-2.30, 2 Li 2.43
Li  0.5000  0.2500  0.2500  4 Co 2.43
Co  0.0000  0.4415  0.4153  2 Co 2.28-2.30, 2 Li 2.43
Ca  0.5000  0.7500  0.7500  2 Li 2.80, 2 Ca 2.96, 4 Co 3.06


This record from the Alexandria database describes a relaxed structure of LiCaCo2. The functional is PBE.

Computed properties:
Space group   Imm2, No. 44
ΔE to the lowest computed polymorph   163 meV per atom
Energy of formation from the pure elements   0.294 eV per atom

a = 4.7159 Å, b = 4.7159 Å, c = 4.7159 Å
α = 130.50°, β = 118.73°, γ = 82.53°
Last column: nearest neighbours and their distance in Å.
Fractional positions:
Co  0.7890  0.2890  0.5000  2 Co 2.27
Ca  0.2360  0.7360  0.5000  4 Li 2.82-2.86, 8 Co 2.83-3.13
Li  0.5287  0.5287  0.0000  5 Co 2.70-2.96, 4 Ca 2.82-2.86
Co  0.9464  0.9464  0.0000  2 Co 2.27


This record from the Alexandria database describes a relaxed structure of LiCaCo2. The functional is PBE.

Computed properties:
Space group   Pmmm, No. 47
ΔE to the lowest computed polymorph   304 meV per atom
Energy of formation from the pure elements   0.435 eV per atom

a = 3.7326 Å, b = 3.8012 Å, c = 4.3693 Å
α = 90.00°, β = 90.00°, γ = 90.00°
Last column: nearest neighbours and their distance in Å.
Fractional positions:
Co  0.0000  0.0000  0.0000  4 Co 2.66, 4 Li 2.87, 4 Ca 2.90
Li  0.5000  0.0000  0.5000  4 Ca 2.66, 8 Co 2.87-2.90
Co  0.5000  0.5000  0.0000  4 Co 2.66, 4 Ca 2.87, 4 Li 2.90
Ca  0.0000  0.5000  0.5000  4 Li 2.66, 8 Co 2.87-2.90


This record from the Alexandria database describes a relaxed structure of LiCa3Co. The functional is PBE.

Computed properties:
Space group   Pm-3m, No. 221
ΔE to the lowest computed polymorph   122 meV per atom
Energy of formation from the pure elements   0.173 eV per atom

a = 5.4325 Å, b = 5.4325 Å, c = 5.4325 Å
α = 90.00°, β = 90.00°, γ = 90.00°
Last column: nearest neighbours and their distance in Å.
Fractional positions:
Ca  0.0000  0.5000  0.0000  2 Co 2.72
Ca  0.5000  0.0000  0.0000  2 Co 2.72
Li  0.5000  0.5000  0.5000  12 Ca 3.84
Ca  0.0000  0.0000  0.5000  2 Co 2.72
Co  0.0000  0.0000  0.0000  6 Ca 2.72


This record from the Alexandria database describes a relaxed structure of LiCaMgCo2. The functional is PBE.

Computed properties:
Space group   P4/mmm, No. 123
Energy of formation from the pure elements   1.409 eV per atom

a = 4.7303 Å, b = 5.6206 Å, c = 4.7303 Å
α = 90.00°, β = 90.00°, γ = 90.00°
Last column: nearest neighbours and their distance in Å.
Fractional positions:
Co  0.5000  0.0000  0.0000  2 Ca 2.37
Co  0.0000  0.0000  0.5000  2 Ca 2.37
Li  0.5000  0.5000  0.5000  4 Mg 3.34, 8 Co 3.67
Ca  0.0000  0.0000  0.0000  4 Co 2.37
Mg  0.0000  0.5000  0.0000  2 Ca 2.81